Entry 1:
Entry from Alexandria via LeMat-Bulk: FeHg2Te after structural relaxation (PBE).

Structure (CIF):
```
data_FeHg2Te
_chemical_formula_sum 'Fe1 Hg2 Te1'
_space_group_name_H-M_alt 'P 1'
_space_group_IT_number 1
_cell_length_a 4.0081
_cell_length_b 4.0081
_cell_length_c 6.4807
_cell_angle_alpha 90.00
_cell_angle_beta 90.00
_cell_angle_gamma 90.00
loop_
_space_group_symop_operation_xyz
'x,y,z'
loop_
_atom_site_label
_atom_site_type_symbol
_atom_site_fract_x
_atom_site_fract_y
_atom_site_fract_z
Te1 Te 0.5000 0.0000 0.5000
Hg1 Hg 0.5000 0.5000 0.0000
Fe1 Fe 0.0000 0.5000 0.5000
Hg2 Hg 0.0000 0.0000 0.0000
```

Summary:
Its total energy is -2.6334 eV per atom. The size of the total moment is 3.613 μB/f.u. The uncorrected formation energy comes out at 0.419 eV/atom.



Entry 2:
Entry from Alexandria via LeMat-Bulk: FeHg2Te after structural relaxation (PBE).

Structure (CIF):
```
data_FeHg2Te
_chemical_formula_sum 'Fe1 Hg2 Te1'
_space_group_name_H-M_alt 'P 1'
_space_group_IT_number 1
_cell_length_a 10.5442
_cell_length_b 10.5442
_cell_length_c 10.5442
_cell_angle_alpha 17.48
_cell_angle_beta 17.48
_cell_angle_gamma 17.48
loop_
_space_group_symop_operation_xyz
'x,y,z'
loop_
_atom_site_label
_atom_site_type_symbol
_atom_site_fract_x
_atom_site_fract_y
_atom_site_fract_z
Hg1 Hg 0.4836 0.4836 0.4836
Hg2 Hg 0.0164 0.0164 0.0164
Fe1 Fe 0.7500 0.7500 0.7500
Te1 Te 0.2500 0.2500 0.2500
```

Summary:
Its total energy is -2.6179 eV per atom. The size of the total moment is 2.974 μB/f.u. The uncorrected formation energy comes out at 0.434 eV/atom.



Entry 3:
Entry from Alexandria via LeMat-Bulk: FeHgTe2 after structural relaxation (PBE).

Structure (CIF):
```
data_FeHgTe2
_chemical_formula_sum 'Fe1 Hg1 Te2'
_space_group_name_H-M_alt 'P 1'
_space_group_IT_number 1
_cell_length_a 8.7766
_cell_length_b 8.7766
_cell_length_c 8.7766
_cell_angle_alpha 153.84
_cell_angle_beta 153.84
_cell_angle_gamma 37.34
loop_
_space_group_symop_operation_xyz
'x,y,z'
loop_
_atom_site_label
_atom_site_type_symbol
_atom_site_fract_x
_atom_site_fract_y
_atom_site_fract_z
Hg1 Hg 0.7500 0.2500 0.5000
Fe1 Fe 0.5000 0.5000 0.0000
Te1 Te 0.2500 0.7500 0.5000
Te2 Te 0.0000 0.0000 0.0000
```

Summary:
Its total energy is -3.2977 eV per atom. The size of the total moment is 3.664 μB/f.u. The uncorrected formation energy comes out at 0.464 eV/atom.



Entry 4:
Entry from Alexandria via LeMat-Bulk: FeHgTe2 after structural relaxation (PBE).

Structure (CIF):
```
data_FeHgTe2
_chemical_formula_sum 'Fe1 Hg1 Te2'
_space_group_name_H-M_alt 'P 1'
_space_group_IT_number 1
_cell_length_a 5.1956
_cell_length_b 5.1956
_cell_length_c 4.4925
_cell_angle_alpha 74.21
_cell_angle_beta 74.21
_cell_angle_gamma 105.98
loop_
_space_group_symop_operation_xyz
'x,y,z'
loop_
_atom_site_label
_atom_site_type_symbol
_atom_site_fract_x
_atom_site_fract_y
_atom_site_fract_z
Te1 Te 0.5000 0.5000 0.0000
Hg1 Hg 0.0000 0.5000 0.5000
Te2 Te 0.0000 0.0000 0.0000
Fe1 Fe 0.5000 0.0000 0.5000
```

Summary:
Its total energy is -3.3385 eV per atom. The size of the total moment is 3.135 μB/f.u. The uncorrected formation energy comes out at 0.424 eV/atom.



Entry 5:
Entry from Alexandria via LeMat-Bulk: Th4FeHgTe2 after structural relaxation (PBE).

Structure (CIF):
```
data_Th4FeHgTe2
_chemical_formula_sum 'Th4 Fe1 Hg1 Te2'
_space_group_name_H-M_alt 'P 1'
_space_group_IT_number 1
_cell_length_a 4.2959
_cell_length_b 7.5028
_cell_length_c 7.9040
_cell_angle_alpha 107.43
_cell_angle_beta 90.00
_cell_angle_gamma 90.00
loop_
_space_group_symop_operation_xyz
'x,y,z'
loop_
_atom_site_label
_atom_site_type_symbol
_atom_site_fract_x
_atom_site_fract_y
_atom_site_fract_z
Te1 Te 0.0000 0.5000 0.5000
Th1 Th 0.0000 0.2813 0.7942
Fe1 Fe 0.5000 0.5000 0.0000
Th2 Th 0.5000 0.7138 0.7935
Th3 Th 0.0000 0.7187 0.2058
Hg1 Hg 0.0000 0.0000 0.0000
Th4 Th 0.5000 0.2862 0.2065
Te2 Te 0.5000 0.0000 0.5000
```

Summary:
Its total energy is -6.1560 eV per atom. The size of the total moment is 0.000 μB/f.u. The uncorrected formation energy comes out at -0.565 eV/atom.



Entry 6:
Entry from Alexandria via LeMat-Bulk: Th12Fe6Hg after structural relaxation (PBE).

Structure (CIF):
```
data_Th12Fe6Hg
_chemical_formula_sum 'Th12 Fe6 Hg1'
_space_group_name_H-M_alt 'P 1'
_space_group_IT_number 1
_cell_length_a 8.5625
_cell_length_b 8.5625
_cell_length_c 8.5625
_cell_angle_alpha 109.47
_cell_angle_beta 109.47
_cell_angle_gamma 109.47
loop_
_space_group_symop_operation_xyz
'x,y,z'
loop_
_atom_site_label
_atom_site_type_symbol
_atom_site_fract_x
_atom_site_fract_y
_atom_site_fract_z
Th1 Th 0.6853 0.5044 0.8192
Fe1 Fe 0.1395 0.6395 0.5000
Th2 Th 0.6853 0.8661 0.1808
Th3 Th 0.8192 0.3147 0.1339
Th4 Th 0.1808 0.3147 0.4956
Hg1 Hg 0.0000 0.0000 0.0000
Fe2 Fe 0.8605 0.3605 0.5000
Fe3 Fe 0.5000 0.1395 0.6395
Th5 Th 0.1339 0.8192 0.3147
Th6 Th 0.3147 0.4956 0.1808
Th7 Th 0.8661 0.1808 0.6853
Th8 Th 0.8192 0.6853 0.5044
Th9 Th 0.3147 0.1339 0.8192
Th10 Th 0.4956 0.1808 0.3147
Fe4 Fe 0.5000 0.8605 0.3605
Th11 Th 0.5044 0.8192 0.6853
Fe5 Fe 0.3605 0.5000 0.8605
Fe6 Fe 0.6395 0.5000 0.1395
Th12 Th 0.1808 0.6853 0.8661
```

Summary:
Its total energy is -7.4397 eV per atom. The size of the total moment is 0.000 μB/f.u. The formation enthalpy at 0 K is -0.065 eV/atom.



Entry 7:
Entry from Alexandria via LeMat-Bulk: ThFeHg after structural relaxation (PBE).

Structure (CIF):
```
data_ThFeHg
_chemical_formula_sum 'Th2 Fe2 Hg2'
_space_group_name_H-M_alt 'P 1'
_space_group_IT_number 1
_cell_length_a 4.0298
_cell_length_b 4.8451
_cell_length_c 7.8323
_cell_angle_alpha 100.94
_cell_angle_beta 90.00
_cell_angle_gamma 114.57
loop_
_space_group_symop_operation_xyz
'x,y,z'
loop_
_atom_site_label
_atom_site_type_symbol
_atom_site_fract_x
_atom_site_fract_y
_atom_site_fract_z
Th1 Th 0.8809 0.7619 0.1584
Fe1 Fe 0.8049 0.6098 0.7843
Hg1 Hg 0.6330 0.2660 0.4263
Hg2 Hg 0.3670 0.7340 0.5737
Fe2 Fe 0.1951 0.3902 0.2157
Th2 Th 0.1191 0.2381 0.8416
```

Summary:
Its total energy is -5.2134 eV per atom. The size of the total moment is 0.000 μB/f.u. The formation enthalpy at 0 K is 0.181 eV/atom.



Entry 8:
Entry from Alexandria via LeMat-Bulk: Th3FeHg2 after structural relaxation (PBE).

Structure (CIF):
```
data_Th3FeHg2
_chemical_formula_sum 'Th6 Fe2 Hg4'
_space_group_name_H-M_alt 'P 1'
_space_group_IT_number 1
_cell_length_a 5.0954
_cell_length_b 7.3832
_cell_length_c 8.8045
_cell_angle_alpha 90.00
_cell_angle_beta 73.21
_cell_angle_gamma 90.00
loop_
_space_group_symop_operation_xyz
'x,y,z'
loop_
_atom_site_label
_atom_site_type_symbol
_atom_site_fract_x
_atom_site_fract_y
_atom_site_fract_z
Th1 Th 0.1250 0.0000 0.7496
Th2 Th 0.4999 0.7500 0.0000
Th3 Th 0.1250 0.5000 0.7496
Th4 Th 0.8750 0.5000 0.2504
Fe1 Fe 0.0002 0.2500 0.0000
Hg1 Hg 0.3014 0.7500 0.3979
Hg2 Hg 0.3015 0.2500 0.3979
Hg3 Hg 0.6985 0.7500 0.6021
Hg4 Hg 0.6986 0.2500 0.6021
Th5 Th 0.8750 0.0000 0.2504
Th6 Th 0.5001 0.2500 0.0000
Fe2 Fe 0.9998 0.7500 0.0000
```

Summary:
Its total energy is -5.4124 eV per atom. The size of the total moment is 0.000 μB/f.u. The formation enthalpy at 0 K is -0.191 eV/atom.



- Which value of size of the total moment does entry 5 give?
  0.000 μB/f.u.



- What is the formula in the eighth record?
  Th3FeHg2



- Number 8 is which compound?
  Th3FeHg2